[1]
The following is a PBE calculation of a relaxed BaLi3In crystal, from Alexandria.

Unit cell a=4.442 b=6.177 c=10.627 alpha=90.00 beta=102.06 gamma=90.00
Sites, in units of the cell vectors:
Li: 0.294 0.003 0.588
Li: 0.706 0.997 0.412
Li: 0.706 0.503 0.412
Li: 0.161 0.250 0.322
Li: 0.294 0.497 0.588
Li: 0.839 0.750 0.678
Ba: 0.934 0.250 0.867
Ba: 0.066 0.750 0.133
In: 0.423 0.750 0.846
In: 0.577 0.250 0.154

The space group is No. 63. Its crystal system is orthorhombic. As for the distance to the lowest polymorph of the same formula: 0.000 eV/atom.



[2]
The following is a PBE calculation of a relaxed GaNi4Ge3 crystal, from Alexandria.

Unit cell a=6.205 b=6.205 c=4.909 alpha=79.32 beta=79.32 gamma=36.24
Sites, in units of the cell vectors:
Ga: 0.427 0.427 0.293
Ni: 0.793 0.793 0.331
Ni: 0.205 0.205 0.669
Ni: 0.001 0.001 0.500
Ni: 0.002 0.002 0.999
Ge: 0.816 0.816 0.823
Ge: 0.569 0.569 0.709
Ge: 0.186 0.186 0.175

The space group is No. 8. Its crystal system is monoclinic. As for the distance to the lowest polymorph of the same formula: 0.001 eV/atom.



[3]
The following is a PBE calculation of a relaxed BeFe crystal, from Alexandria.

Unit cell a=4.166 b=4.334 c=8.231 alpha=90.00 beta=90.00 gamma=90.00
Sites, in units of the cell vectors:
Fe: 0.631 0.361 0.699
Fe: 0.369 0.861 0.801
Fe: 0.351 0.392 0.025
Fe: 0.131 0.139 0.301
Fe: 0.851 0.108 0.975
Fe: 0.649 0.892 0.475
Fe: 0.149 0.608 0.525
Fe: 0.869 0.639 0.199
Be: 0.865 0.865 0.721
Be: 0.173 0.112 0.567
Be: 0.635 0.135 0.221
Be: 0.365 0.635 0.279
Be: 0.135 0.365 0.779
Be: 0.827 0.612 0.933
Be: 0.673 0.388 0.433
Be: 0.327 0.888 0.067

The space group is No. 19. Its crystal system is orthorhombic.



no.,total energy (eV per atom)
1,-2.209
2,-5.312
3,-6.219